The following is a PBE with a Hubbard U calculation of a relaxed structure of BeCoAs2O6, from Alexandria via LeMat-Bulk.

a = 4.9127 Å, b = 7.1148 Å, c = 7.1148 Å
α = 68.13°, β = 77.20°, γ = 77.20°
Atoms (fractional coordinates):
Be: 0.2500 0.2090 0.7910
Be: 0.7500 0.7910 0.2090
O: 0.8616 0.0078 0.1652
O: 0.4406 0.7771 0.3534
O: 0.5594 0.2229 0.6466
O: 0.6384 0.8348 0.9922
O: 0.0291 0.2269 0.3841
O: 0.5291 0.3841 0.2269
O: 0.0594 0.6466 0.2229
O: 0.1384 0.9922 0.8348
O: 0.4709 0.6159 0.7731
O: 0.9709 0.7731 0.6159
O: 0.3616 0.1652 0.0078
O: 0.9406 0.3534 0.7771
As: 0.3179 0.8475 0.5813
As: 0.1821 0.4187 0.1525
As: 0.6821 0.1525 0.4187
As: 0.8179 0.5813 0.8475
Co: 0.7500 0.1025 0.8975
Co: 0.2500 0.8975 0.1025

Summary:
uncorrected energy: -6.024 eV/atom
V: 11.12 Å³/atom
space-group type: C2/c, No. 15